LiCrPO4 PBE with a Hubbard U optimized geometry; E above lowest polymorph = 45 meV/atom; calculated total energy = -793.8 eV per cell; volume = 1443 Å³/cell
1.0
-8.6926 -4.7194 1.0974
-1.2577 -6.2421 7.6480
-7.3175 10.8372 10.8245
Li Cr P O
16 16 16 64
direct
0.8488 0.1716 0.0043
0.1716 0.8488 0.5043
0.5845 0.6852 0.2620
0.0584 0.2492 0.2488
0.3210 0.1276 0.0085
0.6852 0.5845 0.7620
0.8309 0.6895 0.9973
0.2492 0.0584 0.7488
0.1276 0.3210 0.5085
0.6895 0.8309 0.4973
0.5657 0.2019 0.2554
0.0861 0.7575 0.2486
0.3191 0.6404 0.0098
0.2019 0.5657 0.7554
0.7575 0.0861 0.7486
0.6404 0.3191 0.5098
0.2932 0.8981 0.1230
0.7610 0.4536 0.1269
0.8981 0.2932 0.6230
0.4536 0.7610 0.6269
0.3443 0.9956 0.3922
0.9096 0.5403 0.3683
0.9956 0.3443 0.8922
0.5403 0.9096 0.8683
0.2621 0.3777 0.1283
0.7674 0.9159 0.1192
0.3777 0.2621 0.6283
0.9159 0.7674 0.6192
0.8375 0.9946 0.3822
0.3923 0.5310 0.3749
0.9946 0.8375 0.8822
0.5310 0.3923 0.8749
0.9030 0.0888 0.1921
0.0888 0.9030 0.6921
0.9664 0.1918 0.4303
0.5289 0.6829 0.4465
0.1918 0.9664 0.9303
0.6829 0.5289 0.9465
0.4134 0.0322 0.2030
0.9091 0.6064 0.1837
0.0322 0.4134 0.7030
0.6064 0.9091 0.6837
0.4697 0.1863 0.4397
0.0302 0.6898 0.4382
0.1863 0.4697 0.9397
0.6898 0.0302 0.9382
0.4167 0.5427 0.1907
0.5427 0.4167 0.6907
0.3501 0.6665 0.1198
0.0686 0.9574 0.2033
0.5742 0.5225 0.2114
0.8110 0.4080 0.0047
0.6665 0.3501 0.6198
0.5206 0.5302 0.4622
0.2541 0.9707 0.0080
0.9051 0.2456 0.1793
0.9574 0.0686 0.7033
0.1046 0.0271 0.4213
0.5225 0.5742 0.7114
0.4080 0.8110 0.5047
0.5302 0.5206 0.9622
0.4655 0.7593 0.3633
0.9753 0.3079 0.3598
0.4431 0.8641 0.2038
0.9707 0.2541 0.5080
0.2456 0.9051 0.6793
0.0271 0.1046 0.9213
0.6912 0.6588 0.4534
0.7930 0.6674 0.1159
0.3105 0.1132 0.2776
0.8104 0.6034 0.2631
0.7593 0.4655 0.8633
0.3079 0.9753 0.8598
0.8641 0.4431 0.7038
0.3159 0.1215 0.1288
0.0395 0.4375 0.1716
0.3135 0.1823 0.4486
0.6588 0.6912 0.9534
0.6674 0.7930 0.6159
0.1132 0.3105 0.7776
0.6034 0.8104 0.7631
0.5678 0.0360 0.1957
0.8194 0.9035 0.9920
0.1215 0.3159 0.6288
0.0361 0.5311 0.4606
0.2487 0.4826 0.0162
0.9731 0.7193 0.1785
0.4375 0.0395 0.6716
0.1823 0.3135 0.9486
0.6012 0.0189 0.4284
0.0360 0.5678 0.6957
0.9035 0.8194 0.4920
0.5311 0.0361 0.9606
0.4807 0.2943 0.3660
0.9614 0.7481 0.3542
0.4826 0.2487 0.5162
0.4444 0.3830 0.1696
0.7193 0.9731 0.6786
0.0189 0.6012 0.9284
0.1853 0.6852 0.4407
0.8351 0.0779 0.1166
0.7929 0.0870 0.2670
0.3003 0.5946 0.2663
0.2943 0.4807 0.8660
0.7481 0.9614 0.8542
0.3830 0.4444 0.6696
0.6852 0.1853 0.9407
0.8136 0.1829 0.4340
0.0779 0.8351 0.6166
0.0870 0.7929 0.7670
0.5946 0.3003 0.7663
0.1829 0.8136 0.9340